VASP calculation (PBE with a Hubbard U) on a geometry-optimized CoTeRhO6 structure.

Structure (POSCAR):
```
CoTeRhO6
1.0
5.1791 0.0000 0.0000
-2.5895 4.4852 0.0000
0.0000 0.0000 8.8898
Co Te Rh O
2 2 2 12
Direct
0.0000 0.0000 0.0000
0.0000 0.0000 0.5000
0.6667 0.3333 0.2500
0.3333 0.6667 0.7500
0.3333 0.6667 0.2500
0.6667 0.3333 0.7500
0.6548 0.6495 0.1308
0.9947 0.3452 0.1308
0.3452 0.9947 0.6308
0.0053 0.6548 0.8692
0.3505 0.3452 0.3692
0.9947 0.6495 0.3692
0.6495 0.9947 0.8692
0.6548 0.0053 0.3692
0.0053 0.3505 0.6308
0.3505 0.0053 0.1308
0.6495 0.6548 0.6308
0.3452 0.3505 0.8692
```

Summary:
VASP energy   -0.43502 Ry/atom
Volume   207 Å³/cell